## Tb6CePr2Er3 (GGA-PBE)

Data for Tb6CePr2Er3 after structural relaxation.

Summary:
Space group: C2/m
Electronic total energy (eV for the cell shown): -56.47
Crystal system: monoclinic
Magnetization (μB/atom): 0.083
Density of states at the Fermi level (states/eV per cell): 20.48
Formation energy (eV per atom): 0.0415

Lattice parameters (Å, degrees): 6.191 6.191 11.833 95.01 95.01 120.01
Each line ends with the local moment (μB).
Atoms (fractional coordinates):
Tb1 0.916 0.585 0.746  0.01
Tb2 0.754 0.754 0.254  0.01
Tb3 0.084 0.415 0.254  0.01
Tb4 0.585 0.916 0.746  0.01
Tb5 0.246 0.246 0.746  0.01
Tb6 0.415 0.084 0.254  0.01
Ce1 0.000 0.000 0.000  0.75
Pr1 0.334 0.666 0.000  0.01
Pr2 0.666 0.334 0.000  0.01
Er1 0.167 0.833 0.500  -0.01
Er2 0.833 0.167 0.500  -0.01
Er3 0.500 0.500 0.500  -0.01


## Tb4CePrEr2 (GGA-PBE)

Data for Tb4CePrEr2 after structural relaxation.

Summary:
Space group: Pmmm
Electronic total energy (eV for the cell shown): -37.96
Crystal system: orthorhombic
Magnetization (μB/atom): 0.137
Density of states at the Fermi level (states/eV per cell): 13.98
Formation energy (eV per atom): 0.0494

Lattice parameters (Å, degrees): 5.051 5.037 11.254 63.39 90.00 90.00
Each line ends with the local moment (μB).
Atoms (fractional coordinates):
Tb1 0.000 0.754 0.746  0.04
Tb2 0.000 0.246 0.254  0.04
Tb3 0.500 0.745 0.254  0.04
Tb4 0.500 0.255 0.746  0.04
Ce1 0.000 0.500 0.500  0.77
Pr1 0.500 0.500 0.000  -0.03
Er1 0.000 0.000 0.000  -0.06
Er2 0.500 0.000 0.500  0.09


## TbCe2Pr3Er6 (GGA-PBE)

Data for TbCe2Pr3Er6 after structural relaxation.

Summary:
Space group: C2/m
Electronic total energy (eV for the cell shown): -57.67
Crystal system: monoclinic
Magnetization (μB/atom): 0.160
Density of states at the Fermi level (states/eV per cell): 19.69
Formation energy (eV per atom): 0.0457

Lattice parameters (Å, degrees): 6.183 6.183 11.717 95.04 95.04 119.98
Each line ends with the local moment (μB).
Atoms (fractional coordinates):
Tb1 0.000 0.000 0.000  0.04
Ce1 0.334 0.666 0.000  0.73
Ce2 0.666 0.334 0.000  0.73
Pr1 0.166 0.834 0.500  -0.01
Pr2 0.834 0.166 0.500  -0.01
Pr3 0.500 0.500 0.500  -0.01
Er1 0.918 0.583 0.755  0.02
Er2 0.746 0.746 0.245  0.02
Er3 0.082 0.417 0.245  0.02
Er4 0.583 0.918 0.755  0.02
Er5 0.254 0.254 0.755  0.02
Er6 0.417 0.082 0.245  0.02


## Ce3Pr3ErTe8 (GGA-PBE)

Data for Ce3Pr3ErTe8 after structural relaxation.

Summary:
Space group: R-3m
Electronic total energy (eV for the cell shown): -83.13
Crystal system: trigonal
Magnetization (μB/atom): 0.250
Density of states at the Fermi level (states/eV per cell): 24.36

Lattice parameters (Å, degrees): 8.978 8.977 9.001 119.91 90.00 119.99
Each line ends with the local moment (μB).
Atoms (fractional coordinates):
Ce1 0.500 0.000 0.500  1.00
Ce2 0.500 0.500 0.500  1.00
Ce3 0.000 0.500 0.500  1.00
Pr1 0.000 0.000 0.000  0.02
Pr2 0.000 0.500 0.000  0.02
Pr3 0.500 0.500 0.000  0.02
Er1 0.000 0.000 0.500  0.07
Te1 0.251 0.502 0.253  -0.01
Te2 0.749 0.498 0.747  -0.01
Te3 0.754 0.507 0.255  -0.01
Te4 0.246 0.493 0.745  -0.01
Te5 0.754 0.002 0.255  -0.01
Te6 0.246 0.998 0.745  -0.01
Te7 0.248 0.002 0.255  -0.01
Te8 0.752 0.998 0.745  -0.01


## CePr2Er3Te6 (GGA-PBE)

Data for CePr2Er3Te6 after structural relaxation.

Summary:
Space group: C2/m
Electronic total energy (eV for the cell shown): -63.93
Crystal system: monoclinic
Magnetization (μB/atom): 0.113
Density of states at the Fermi level (states/eV per cell): 11.83

Lattice parameters (Å, degrees): 4.351 8.989 9.967 105.19 102.61 90.00
Each line ends with the local moment (μB).
Atoms (fractional coordinates):
Ce1 0.500 0.000 0.000  1.03
Pr1 0.833 0.667 0.667  0.02
Pr2 0.167 0.333 0.333  0.02
Er1 0.500 0.500 0.000  0.00
Er2 0.831 0.165 0.663  0.01
Er3 0.169 0.835 0.337  0.01
Te1 0.331 0.927 0.661  0.00
Te2 0.663 0.593 0.325  0.00
Te3 0.669 0.073 0.339  0.00
Te4 0.995 0.258 0.991  -0.01
Te5 0.005 0.742 0.009  -0.01
Te6 0.337 0.407 0.675  0.00


## Ce2PrEr3Te6 (GGA-PBE)

Data for Ce2PrEr3Te6 after structural relaxation.

Summary:
Space group: C2/m
Electronic total energy (eV for the cell shown): -64.98
Crystal system: monoclinic
Magnetization (μB/atom): 0.218
Density of states at the Fermi level (states/eV per cell): 16.80

Lattice parameters (Å, degrees): 4.350 8.958 9.939 104.93 102.64 90.00
Each line ends with the local moment (μB).
Atoms (fractional coordinates):
Ce1 0.833 0.666 0.666  1.03
Ce2 0.167 0.334 0.334  1.03
Pr1 0.500 0.000 0.000  0.03
Er1 0.500 0.500 0.000  0.01
Er2 0.835 0.168 0.671  0.00
Er3 0.165 0.832 0.329  0.00
Te1 0.329 0.925 0.658  -0.01
Te2 0.663 0.591 0.327  -0.01
Te3 0.671 0.075 0.342  -0.01
Te4 0.998 0.260 0.995  0.00
Te5 0.002 0.740 0.005  0.00
Te6 0.337 0.409 0.673  -0.01


## CePr4Er3Te8 (GGA-PBE)

Data for CePr4Er3Te8 after structural relaxation.

Summary:
Space group: R-3m
Electronic total energy (eV for the cell shown): -85.46
Crystal system: trigonal
Magnetization (μB/atom): 0.064
Density of states at the Fermi level (states/eV per cell): 15.51

Lattice parameters (Å, degrees): 8.799 8.996 8.800 119.29 120.00 90.00
Each line ends with the local moment (μB).
Atoms (fractional coordinates):
Ce1 0.000 0.500 0.000  0.83
Pr1 0.500 0.000 0.000  -0.01
Pr2 0.500 0.000 0.500  0.00
Pr3 0.000 0.000 0.000  0.00
Pr4 0.000 0.000 0.500  0.00
Er1 0.500 0.500 0.000  0.01
Er2 0.500 0.500 0.500  0.01
Er3 0.000 0.500 0.500  0.01
Te1 0.249 0.736 0.988  0.00
Te2 0.249 0.736 0.497  0.00
Te3 0.256 0.268 0.512  0.00
Te4 0.739 0.736 0.988  0.00
Te5 0.261 0.264 0.012  0.00
Te6 0.744 0.732 0.488  0.00
Te7 0.751 0.264 0.503  0.00
Te8 0.751 0.264 0.012  0.00


## CePr2ErTe5 (GGA-PBE)

Data for CePr2ErTe5 after structural relaxation.

Summary:
Space group: P4/mmm
Electronic total energy (eV for the cell shown): -43.60
Crystal system: tetragonal
Magnetization (μB/atom): 0.167
Density of states at the Fermi level (states/eV per cell): 12.80

Lattice parameters (Å, degrees): 5.514 5.514 11.872 90.00 90.00 90.00
Each line ends with the local moment (μB).
Atoms (fractional coordinates):
Ce1 0.000 0.000 0.000  1.19
Pr1 0.500 0.500 0.339  0.06
Pr2 0.500 0.500 0.661  0.06
Er1 0.000 0.000 0.500  0.02
Te1 0.000 0.500 0.500  0.00
Te2 0.500 0.000 0.500  0.00
Te3 0.000 0.000 0.748  -0.01
Te4 0.000 0.000 0.252  -0.01
Te5 0.500 0.500 0.000  -0.01


## CePr3Er2Te6 (GGA-PBE)

Data for CePr3Er2Te6 after structural relaxation.

Summary:
Space group: C2/m
Electronic total energy (eV for the cell shown): -64.56
Crystal system: monoclinic
Magnetization (μB/atom): 0.105
Density of states at the Fermi level (states/eV per cell): 12.23

Lattice parameters (Å, degrees): 4.403 9.022 9.990 103.74 102.73 90.00
Each line ends with the local moment (μB).
Atoms (fractional coordinates):
Ce1 0.500 0.000 0.000  0.94
Pr1 0.500 0.500 0.000  0.01
Pr2 0.838 0.168 0.676  0.02
Pr3 0.162 0.832 0.324  0.02
Er1 0.835 0.670 0.670  0.01
Er2 0.165 0.330 0.330  0.01
Te1 0.332 0.904 0.663  0.00
Te2 0.672 0.573 0.343  0.00
Te3 0.668 0.096 0.337  0.00
Te4 0.006 0.251 0.011  -0.01
Te5 0.994 0.749 0.989  -0.01
Te6 0.328 0.427 0.657  0.00


## CePr3Er3Te8 (GGA-PBE)

Data for CePr3Er3Te8 after structural relaxation.

Summary:
Space group: R-3m
Electronic total energy (eV for the cell shown): -79.79
Crystal system: trigonal
Magnetization (μB/atom): 0.097
Density of states at the Fermi level (states/eV per cell): 14.29

Lattice parameters (Å, degrees): 8.824 8.825 8.843 119.93 90.00 120.00
Each line ends with the local moment (μB).
Atoms (fractional coordinates):
Ce1 0.000 0.000 0.500  1.03
Pr1 0.000 0.000 0.000  0.03
Pr2 0.000 0.500 0.000  0.03
Pr3 0.500 0.500 0.000  0.03
Er1 0.500 0.000 0.500  0.01
Er2 0.500 0.500 0.500  0.01
Er3 0.000 0.500 0.500  0.01
Te1 0.256 0.511 0.267  0.00
Te2 0.744 0.489 0.733  0.00
Te3 0.742 0.483 0.253  -0.01
Te4 0.258 0.517 0.747  -0.01
Te5 0.742 0.011 0.253  -0.01
Te6 0.258 0.989 0.747  -0.01
Te7 0.270 0.011 0.253  -0.01
Te8 0.730 0.989 0.747  -0.01


## CePr2ErTl4 (GGA-PBE)

Data for CePr2ErTl4 after structural relaxation.

Summary:
Space group: R-3m
Electronic total energy (eV for the cell shown): -32.03
Crystal system: trigonal
Magnetization (μB/atom): 0.140
Density of states at the Fermi level (states/eV per cell): 13.58
Formation energy (eV per atom): -0.3136

Lattice parameters (Å, degrees): 5.491 5.491 9.578 73.34 73.34 60.00
Each line ends with the local moment (μB).
Atoms (fractional coordinates):
Ce1 0.500 0.500 0.500  0.88
Pr1 0.748 0.748 0.755  0.02
Pr2 0.252 0.252 0.245  0.02
Er1 0.000 0.000 0.000  0.00
Tl1 0.374 0.374 0.878  0.00
Tl2 0.876 0.876 0.372  0.01
Tl3 0.124 0.124 0.628  0.01
Tl4 0.626 0.626 0.122  0.00